Computed, not measured: SrNdRh2 after structural relaxation at the PBE level of DFT.

Summary:
The distance to the lowest polymorph of the same formula comes out at 0.0 meV per atom. The value obtained for the final energy is -5.70 eV per atom. As for the formation energy from the elements: -0.411 eV per atom.

CIF file:
```
data_SrNdRh2
_cell_length_a 3.5744
_cell_length_b 3.5744
_cell_length_c 7.2373
_cell_angle_alpha 90.00
_cell_angle_beta 90.00
_cell_angle_gamma 90.00
_space_group_name_H-M_alt 'P 4/m m m'
_space_group_IT_number 123
_space_group_name_Hall '-P 4 2'
loop_
_atom_site_label
_atom_site_type_symbol
_atom_site_fract_x
_atom_site_fract_y
_atom_site_fract_z
Sr1 Sr 0.0000 0.0000 0.0000
Nd1 Nd 0.0000 0.0000 0.5000
Rh1 Rh 0.5000 0.5000 0.2787
```